# Tb2Y6Zn PBE relaxed
data_Tb2Y6Zn
_space_group_name_H-M_alt 'P n n m'
_space_group_IT_number 58
_cell_length_a 9.925
_cell_length_b 10.209
_cell_length_c 5.379
_cell_angle_alpha 90.00
_cell_angle_beta 90.00
_cell_angle_gamma 90.00
loop_
_space_group_symop_operation_xyz
'x,y,z'
'-x,-y,-z'
'-x,-y,z'
'x,y,-z'
'x+1/2,-y+1/2,-z+1/2'
'-x+1/2,y+1/2,z+1/2'
'-x+1/2,y+1/2,-z+1/2'
'x+1/2,-y+1/2,z+1/2'
loop_
_atom_site_label
_atom_site_fract_x
_atom_site_fract_y
_atom_site_fract_z
Tb1 0.200 0.235 0.000
Y1 0.026 0.313 0.500
Y2 0.130 0.889 0.000
Y3 0.187 0.560 0.000
Zn1 0.000 0.000 0.500
# * magnetic moment: 0.00 μB per cell
# * calculated formation energy: 16 meV per atom
# * E: -5.464 eV per atom


# KCrCo2Cl8 PBE relaxed
data_KCrCo2Cl8
_space_group_name_H-M_alt 'R -3'
_space_group_IT_number 148
_space_group_name_Hall '-R 3'
_cell_length_a 6.1473
_cell_length_b 6.1473
_cell_length_c 28.8322
_cell_angle_alpha 90.00
_cell_angle_beta 90.00
_cell_angle_gamma 120.00
loop_
_atom_site_label
_atom_site_fract_x
_atom_site_fract_y
_atom_site_fract_z
K1 0.0000 0.0000 0.0000
Cr1 0.0000 0.0000 0.5000
Co1 0.0000 0.0000 0.2381
Cl1 0.0000 0.0000 0.3142
Cl2 0.0094 0.6922 0.5484
# * magnetic moment: 9.00 μB per cell
# * raw formation energy: -951.9 meV per atom
# * E: -4.261 eV per atom


# Th2MgGa3Cu4 PBE relaxed
data_Th2MgGa3Cu4
_space_group_name_H-M_alt 'P -4 m 2'
_space_group_IT_number 115
_cell_length_a 4.293
_cell_length_b 4.293
_cell_length_c 10.067
_cell_angle_alpha 90.00
_cell_angle_beta 90.00
_cell_angle_gamma 90.00
loop_
_space_group_symop_operation_xyz
'x,y,z'
'y,-x,-z'
'-x,-y,z'
'-y,x,-z'
'-x,y,z'
'-y,-x,-z'
'x,-y,z'
'y,x,-z'
loop_
_atom_site_label
_atom_site_fract_x
_atom_site_fract_y
_atom_site_fract_z
Th1 0.000 0.500 0.231
Mg1 0.000 0.000 0.500
Ga1 0.000 0.500 0.874
Ga2 0.500 0.500 0.500
Cu1 0.000 0.000 0.000
Cu2 0.000 0.500 0.638
Cu3 0.500 0.500 0.000
# * magnetic moment: 0.00 μB per cell
# * calculated formation energy: -350 meV per atom
# * E: -4.540 eV per atom


# K2ScW PBE relaxed
data_K2ScW
_space_group_name_H-M_alt 'C 1 2/m 1'
_space_group_IT_number 12
_cell_length_a 6.148
_cell_length_b 13.144
_cell_length_c 2.954
_cell_angle_alpha 90.00
_cell_angle_beta 117.84
_cell_angle_gamma 90.00
loop_
_space_group_symop_operation_xyz
'x,y,z'
'-x,-y,-z'
'-x,y,-z'
'x,-y,z'
'x+1/2,y+1/2,z'
'-x+1/2,-y+1/2,-z'
'-x+1/2,y+1/2,-z'
'x+1/2,-y+1/2,z'
loop_
_atom_site_label
_atom_site_fract_x
_atom_site_fract_y
_atom_site_fract_z
K1 0.250 0.250 0.000
Sc1 0.000 0.000 0.500
W1 0.000 0.500 0.500
# * magnetic moment: 0.00 μB per cell
# * calculated formation energy: 1287 meV per atom
# * E: -4.083 eV per atom
# * ΔE to the lowest computed polymorph: 396 meV/atom


# U4CoRh12 PBE relaxed
data_U4CoRh12
_space_group_name_H-M_alt 'I m -3 m'
_space_group_IT_number 229
_space_group_name_Hall '-I 4 2 3'
_cell_length_a 8.229
_cell_length_b 8.229
_cell_length_c 8.229
_cell_angle_alpha 90.00
_cell_angle_beta 90.00
_cell_angle_gamma 90.00
loop_
_atom_site_label
_atom_site_fract_x
_atom_site_fract_y
_atom_site_fract_z
U1 0.250 0.250 0.250
Co1 0.000 0.000 0.000
Rh1 0.000 0.000 0.284
Rh2 0.000 0.250 0.500
# * magnetic moment: 4.24 μB per cell
# * calculated formation energy: -462 meV per atom
# * E: -8.725 eV per atom


# Cr2Fe PBE relaxed
data_Cr2Fe
_space_group_name_H-M_alt 'P n m a'
_space_group_IT_number 62
_cell_length_a 4.884
_cell_length_b 3.893
_cell_length_c 7.114
_cell_angle_alpha 90.00
_cell_angle_beta 90.00
_cell_angle_gamma 90.00
loop_
_space_group_symop_operation_xyz
'x,y,z'
'-x,-y,-z'
'-x+1/2,-y,z+1/2'
'x+1/2,y,-z+1/2'
'x+1/2,-y+1/2,-z+1/2'
'-x+1/2,y+1/2,z+1/2'
'-x,y+1/2,-z'
'x,-y+1/2,z'
loop_
_atom_site_label
_atom_site_fract_x
_atom_site_fract_y
_atom_site_fract_z
Cr1 0.026 0.250 0.237
Cr2 0.169 0.250 0.911
Fe1 0.159 0.250 0.567
# * magnetic moment: 3.10 μB per cell
# * calculated formation energy: 151 meV per atom
# * E: -9.085 eV per atom


What is the E in the first record?
-5.464 eV per atom


E of number 1 (Tb2Y6Zn)?
-5.464 eV per atom